## YBr (GGA-PBE)

Data for a geometry-optimized YBr structure.

Computed properties:
As for the space-group type: No. 83. The uncorrected formation energy comes out at -1.122 eV/atom. For the calculated total energy, the calculation gives -0.191 Ha/atom. As for the density: 4388 kg/m³.

Cell: 11.5576 11.5576 3.8260 Å, 90.00 90.00 90.00°
Last column: nearest neighbours and their distance in Å.
Element x y z (fractional)
Br: 0.8127 0.8736 0.0000  4 Y 2.95-3.22
Y: 0.6224 0.8357 0.5000  4 Br 2.90-2.96
Br: 0.7128 0.5962 0.5000  4 Y 2.90-3.07
Br: 0.8736 0.1873 0.0000  4 Y 2.95-3.22
Y: 0.8357 0.3776 0.5000  4 Br 2.90-2.96
Y: 0.0819 0.3722 0.0000  4 Br 3.07-3.22, 2 Y 3.43
Br: 0.2872 0.4038 0.5000  4 Y 2.90-3.07
Br: 0.4038 0.7128 0.5000  4 Y 2.90-3.07
Y: 0.3722 0.9181 0.0000  4 Br 3.07-3.22, 2 Y 3.43
Y: 0.6278 0.0819 0.0000  4 Br 3.07-3.22, 2 Y 3.43
Y: 0.1643 0.6224 0.5000  4 Br 2.90-2.96
Y: 0.3776 0.1643 0.5000  4 Br 2.90-2.96
Br: 0.1873 0.1264 0.0000  4 Y 2.95-3.22
Y: 0.9181 0.6278 0.0000  4 Br 3.07-3.22, 2 Y 3.43
Br: 0.1264 0.8127 0.0000  4 Y 2.95-3.22
Br: 0.5962 0.2872 0.5000  4 Y 2.90-3.07

=====

## Zr2PtW (GGA-PBE)

Data for a geometry-optimized Zr2PtW structure.

Computed properties:
As for the space-group type: No. 12. The energy of formation from the pure elements is -0.07 eV per atom. For the calculated total energy, the calculation gives -0.334 Ha/atom. As for the density: 12301 kg/m³.

Cell: 4.8432 4.8432 5.6083 Å, 82.41 82.41 35.57°
Last column: nearest neighbours and their distance in Å.
Element x y z (fractional)
W: 0.2500 0.2500 0.2500  6 Zr 2.82-2.95, 2 W 2.96
Zr: 0.4958 0.4958 0.4967  3 W 2.82-2.95, 3 Pt 2.90-2.91, 4 Zr 2.96-3.13
Zr: 0.0042 0.0042 0.0033  3 W 2.82-2.95, 3 Pt 2.90-2.91, 4 Zr 2.96-3.13
Pt: 0.7500 0.7500 0.7500  6 Zr 2.90-2.91, 2 Pt 2.96, 4 W 3.17